Here is an optimized crystal structure of PmFe2B2O6 from Alexandria. Energies are from PBE with a Hubbard U.

abc: 5.0681 5.0681 7.4474
angles: 90.00 90.00 120.00
Space group P-3 (No. 147)
Unique sites:
Pm: 0.0000 0.0000 0.0000 (multiplicity 1)
Fe: 0.3333 0.6667 0.3104 (multiplicity 2)
B: 0.3333 0.6667 0.7983 (multiplicity 2)
O: 0.0573 0.6615 0.8032 (multiplicity 6)

* uncorrected energy: -7.48 eV/atom
* N(E_F): 0.09 states/eV per atom
* magnetization: 8.580 μB/f.u.